VASP calculation (PBE) on a relaxed Y3Ho2Tm8 crystal.

The structure in extended XYZ format:
```
26
Lattice="6.758 0.000 0.000 2.444 8.375 0.000 3.169 -0.511 14.421" Properties=species:S:1:pos:R:3 pbc="T T T"
Y 0.000 0.000 0.000
Y 2.806 3.932 7.210
Y 3.613 2.917 10.434
Y 4.756 7.741 2.710
Y 7.615 0.122 11.711
Y 8.758 4.947 3.987
Ho 5.440 2.028 13.390
Ho 3.455 1.615 4.975
Ho 8.916 6.249 9.446
Ho 6.931 5.836 1.031
Tm 3.526 7.311 5.951
Tm 4.802 5.312 12.223
Tm 4.128 -0.296 10.990
Tm 3.432 5.036 0.927
Tm 5.422 5.506 8.803
Tm 5.264 4.564 3.878
Tm 5.391 1.101 8.197
Tm 4.240 1.894 1.636
Tm 8.131 5.969 12.785
Tm 6.979 6.762 6.224
Tm 7.107 3.300 10.543
Tm 6.949 2.358 5.618
Tm 8.939 2.827 13.494
Tm 8.242 8.160 3.431
Tm 7.569 2.551 2.198
Tm 8.844 0.552 8.470
```

SG: P-1
VASP energy in eV/atom: -4.825
Formation energy in eV/atom: 0.122
Theoretical density in g cm⁻³: 7.93